## a
First-principles (GGA-PBE) data for a geometry-optimized La8TlGa2 structure, as listed in Alexandria.

Computed properties:
V: 31.81 A^3/atom

Unit cell a=9.593 b=9.593 c=8.262 alpha=113.08 beta=113.08 gamma=30.24
Sites, in units of the cell vectors:
La1 0.031 0.031 0.254
La2 0.189 0.189 0.789
La3 0.327 0.327 0.553
La4 0.410 0.410 0.038
La5 0.590 0.590 0.962
La6 0.673 0.673 0.447
La7 0.811 0.811 0.211
La8 0.969 0.969 0.746
Tl1 0.500 0.500 0.500
Ga1 0.189 0.189 0.178
Ga2 0.811 0.811 0.822

---

## b
First-principles (GGA-PBE) data for a geometry-optimized La8TlGa2 structure, as listed in Alexandria.

Computed properties:
V: 31.50 A^3/atom

Unit cell a=9.190 b=9.190 c=9.190 alpha=148.03 beta=121.31 gamma=68.41
Sites, in units of the cell vectors:
La1 0.121 0.342 0.780
La2 0.152 0.152 0.000
La3 0.331 0.000 0.331
La4 0.438 0.658 0.780
La5 0.562 0.342 0.220
La6 0.669 0.000 0.669
La7 0.848 0.848 0.000
La8 0.879 0.658 0.220
Tl1 0.000 0.500 0.500
Ga1 0.304 0.804 0.500
Ga2 0.696 0.196 0.500

---

Stability order, top to bottom: a, b

---

## a
First-principles (GGA-PBE) data for a geometry-optimized La2TlGa2 structure, as listed in Alexandria.

Computed properties:
V: 27.06 A^3/atom

Unit cell a=8.291 b=8.291 c=3.851 alpha=90.00 beta=90.00 gamma=149.26
Sites, in units of the cell vectors:
La1 0.127 0.873 0.000
La2 0.873 0.127 0.000
Tl1 0.500 0.500 0.500
Ga1 0.294 0.706 0.500
Ga2 0.706 0.294 0.500

---

## b
First-principles (GGA-PBE) data for a geometry-optimized La2TlGa2 structure, as listed in Alexandria.

Computed properties:
V: 31.03 A^3/atom

Unit cell a=6.816 b=6.816 c=6.816 alpha=135.16 beta=135.16 gamma=65.28
Sites, in units of the cell vectors:
La1 0.250 0.750 0.500
La2 0.750 0.250 0.500
Tl1 0.000 0.000 0.000
Ga1 0.398 0.398 0.000
Ga2 0.602 0.602 0.000

---

Stability order, top to bottom: a, b

---

## a
First-principles (GGA-PBE) data for a geometry-optimized La2TlGa2 structure, as listed in Alexandria.

Computed properties:
V: 29.03 A^3/atom

Unit cell a=8.934 b=8.934 c=3.637 alpha=90.00 beta=90.00 gamma=90.00
Sites, in units of the cell vectors:
La1 0.180 0.320 0.000
La2 0.320 0.820 0.000
La3 0.680 0.180 0.000
La4 0.820 0.680 0.000
Tl1 0.000 0.000 0.000
Tl2 0.500 0.500 0.000
Ga1 0.113 0.613 0.500
Ga2 0.387 0.113 0.500
Ga3 0.613 0.887 0.500
Ga4 0.887 0.387 0.500

---

## b
First-principles (GGA-PBE) data for a geometry-optimized La2TlGa2 structure, as listed in Alexandria.

Computed properties:
V: 27.11 A^3/atom

Unit cell a=6.296 b=6.296 c=11.158 alpha=115.27 beta=115.27 gamma=43.64
Sites, in units of the cell vectors:
La1 0.007 0.007 0.180
La2 0.182 0.182 0.601
La3 0.818 0.818 0.399
La4 0.993 0.993 0.820
Tl1 0.289 0.289 0.150
Tl2 0.711 0.711 0.850
Ga1 0.370 0.370 0.932
Ga2 0.466 0.466 0.602
Ga3 0.534 0.534 0.398
Ga4 0.630 0.630 0.068

---

Stability order, top to bottom: b, a

---

## a
First-principles (GGA-PBE) data for a geometry-optimized La2TlGa2 structure, as listed in Alexandria.

Computed properties:
V: 28.14 A^3/atom

Unit cell a=10.189 b=10.189 c=10.189 alpha=158.60 beta=158.60 gamma=30.44
Sites, in units of the cell vectors:
La1 0.111 0.111 0.000
La2 0.889 0.889 0.000
Tl1 0.500 0.500 0.000
Ga1 0.250 0.750 0.500
Ga2 0.750 0.250 0.500

---

## b
First-principles (GGA-PBE) data for a geometry-optimized La2TlGa2 structure, as listed in Alexandria.

Computed properties:
V: 27.10 A^3/atom

Unit cell a=7.632 b=7.632 c=4.653 alpha=90.00 beta=90.00 gamma=90.00
Sites, in units of the cell vectors:
La1 0.174 0.326 0.000
La2 0.326 0.826 0.000
La3 0.674 0.174 0.000
La4 0.826 0.674 0.000
Tl1 0.000 0.000 0.500
Tl2 0.500 0.500 0.500
Ga1 0.122 0.622 0.500
Ga2 0.378 0.122 0.500
Ga3 0.622 0.878 0.500
Ga4 0.878 0.378 0.500

---

Stability order, top to bottom: b, a

---

## a
First-principles (GGA-PBE) data for a geometry-optimized LaTl3Ga structure, as listed in Alexandria.

Computed properties:
V: 31.33 A^3/atom

Unit cell a=5.391 b=5.391 c=5.391 alpha=90.00 beta=90.00 gamma=90.00
Sites, in units of the cell vectors:
La1 0.000 0.000 0.000
Tl1 0.000 0.500 0.500
Tl2 0.500 0.000 0.500
Tl3 0.500 0.500 0.000
Ga1 0.500 0.500 0.500

---

## b
First-principles (GGA-PBE) data for a geometry-optimized LaTl3Ga structure, as listed in Alexandria.

Computed properties:
V: 46.66 A^3/atom

Unit cell a=6.156 b=6.156 c=6.156 alpha=90.00 beta=90.00 gamma=90.00
Sites, in units of the cell vectors:
La1 0.000 0.000 0.000
Tl1 0.000 0.000 0.500
Tl2 0.000 0.500 0.000
Tl3 0.500 0.000 0.000
Ga1 0.500 0.500 0.500

---

Stability order, top to bottom: a, b

---

## a
First-principles (GGA-PBE) data for a geometry-optimized LaTmTlGa structure, as listed in Alexandria.

Computed properties:
V: 26.85 A^3/atom

Unit cell a=5.336 b=5.336 c=5.336 alpha=60.00 beta=60.00 gamma=60.00
Sites, in units of the cell vectors:
La1 0.000 0.000 0.000
Tm1 0.500 0.500 0.500
Tl1 0.250 0.250 0.250
Ga1 0.750 0.750 0.750

---

## b
First-principles (GGA-PBE) data for a geometry-optimized LaTmTlGa structure, as listed in Alexandria.

Computed properties:
V: 26.52 A^3/atom

Unit cell a=3.683 b=3.683 c=7.820 alpha=90.00 beta=90.00 gamma=90.00
Sites, in units of the cell vectors:
La1 0.000 0.000 0.000
Tm1 0.000 0.000 0.538
Tl1 0.500 0.500 0.291
Ga1 0.500 0.500 0.748

---

Stability order, top to bottom: b, a

---

## a
First-principles (GGA-PBE) data for a geometry-optimized La2Tm3Ga4 structure, as listed in Alexandria.

Computed properties:
V: 26.25 A^3/atom

Unit cell a=8.751 b=8.751 c=8.547 alpha=90.00 beta=90.00 gamma=133.78
Sites, in units of the cell vectors:
La1 0.108 0.892 0.922
La2 0.392 0.608 0.422
La3 0.608 0.392 0.578
La4 0.892 0.108 0.078
Tm1 0.000 0.000 0.500
Tm2 0.033 0.467 0.750
Tm3 0.467 0.033 0.250
Tm4 0.500 0.500 0.000
Tm5 0.533 0.967 0.750
Tm6 0.967 0.533 0.250
Ga1 0.184 0.816 0.541
Ga2 0.212 0.288 0.750
Ga3 0.288 0.212 0.250
Ga4 0.316 0.684 0.041
Ga5 0.684 0.316 0.959
Ga6 0.712 0.788 0.750
Ga7 0.788 0.712 0.250
Ga8 0.816 0.184 0.459

---

## b
First-principles (GGA-PBE) data for a geometry-optimized La2Tm3Ga4 structure, as listed in Alexandria.

Computed properties:
V: 26.02 A^3/atom

Unit cell a=8.001 b=7.993 c=7.669 alpha=90.00 beta=107.27 gamma=90.00
Sites, in units of the cell vectors:
La1 0.192 0.177 0.075
La2 0.192 0.323 0.575
La3 0.808 0.677 0.425
La4 0.808 0.823 0.925
Tm1 0.245 0.676 0.250
Tm2 0.245 0.824 0.750
Tm3 0.500 0.000 0.500
Tm4 0.500 0.500 0.000
Tm5 0.755 0.176 0.250
Tm6 0.755 0.324 0.750
Ga1 0.079 0.534 0.871
Ga2 0.079 0.966 0.371
Ga3 0.497 0.117 0.876
Ga4 0.497 0.383 0.376
Ga5 0.503 0.617 0.624
Ga6 0.503 0.883 0.124
Ga7 0.921 0.034 0.629
Ga8 0.921 0.466 0.129

---

Stability order, top to bottom: b, a

---

## a
First-principles (GGA-PBE) data for a geometry-optimized LaVGa2 structure, as listed in Alexandria.

Computed properties:
V: 25.20 A^3/atom

Unit cell a=9.515 b=9.515 c=9.515 alpha=151.04 beta=151.04 gamma=41.42
Sites, in units of the cell vectors:
La1 0.000 0.000 0.000
La2 0.750 0.250 0.500
V1 0.250 0.750 0.500
V2 0.500 0.500 0.000
Ga1 0.284 0.625 0.159
Ga2 0.375 0.534 0.659
Ga3 0.466 0.125 0.841
Ga4 0.875 0.716 0.341

---

## b
First-principles (GGA-PBE) data for a geometry-optimized LaVGa2 structure, as listed in Alexandria.

Computed properties:
V: 21.15 A^3/atom

Unit cell a=4.927 b=4.927 c=4.927 alpha=60.00 beta=60.00 gamma=60.00
Sites, in units of the cell vectors:
La1 0.000 0.000 0.000
V1 0.500 0.500 0.500
Ga1 0.250 0.250 0.250
Ga2 0.750 0.750 0.750

---

Stability order, top to bottom: b, a

---

## a
First-principles (GGA-PBE) data for a geometry-optimized LaV2Ga2 structure, as listed in Alexandria.

Computed properties:
V: 18.11 A^3/atom

Unit cell a=7.811 b=7.811 c=2.969 alpha=90.00 beta=90.00 gamma=90.00
Sites, in units of the cell vectors:
La1 0.000 0.000 0.000
La2 0.500 0.500 0.000
V1 0.170 0.330 0.500
V2 0.330 0.830 0.500
V3 0.670 0.170 0.500
V4 0.830 0.670 0.500
Ga1 0.122 0.622 0.000
Ga2 0.378 0.122 0.000
Ga3 0.622 0.878 0.000
Ga4 0.878 0.378 0.000

---

## b
First-principles (GGA-PBE) data for a geometry-optimized LaV2Ga2 structure, as listed in Alexandria.

Computed properties:
V: 19.35 A^3/atom

Unit cell a=6.753 b=6.753 c=6.753 alpha=145.82 beta=145.82 gamma=49.12
Sites, in units of the cell vectors:
La1 0.000 0.000 0.000
V1 0.250 0.750 0.500
V2 0.750 0.250 0.500
Ga1 0.388 0.388 0.000
Ga2 0.612 0.612 0.000

---

## c
First-principles (GGA-PBE) data for a geometry-optimized LaV2Ga2 structure, as listed in Alexandria.

Computed properties:
V: 17.94 A^3/atom

Unit cell a=7.972 b=7.972 c=2.823 alpha=90.00 beta=90.00 gamma=90.00
Sites, in units of the cell vectors:
La1 0.000 0.000 0.000
La2 0.500 0.500 0.000
V1 0.108 0.392 0.000
V2 0.392 0.892 0.000
V3 0.608 0.108 0.000
V4 0.892 0.608 0.000
Ga1 0.178 0.678 0.500
Ga2 0.322 0.178 0.500
Ga3 0.678 0.822 0.500
Ga4 0.822 0.322 0.500

---

Stability order, top to bottom: b, c, a

---

## a
First-principles (GGA-PBE) data for a geometry-optimized La2V2Ga structure, as listed in Alexandria.

Computed properties:
V: 24.84 A^3/atom

Unit cell a=5.501 b=5.501 c=5.501 alpha=115.69 beta=115.69 gamma=97.64
Sites, in units of the cell vectors:
La1 0.250 0.750 0.500
La2 0.750 0.250 0.500
V1 0.130 0.130 0.000
V2 0.870 0.870 0.000
Ga1 0.500 0.500 0.000

---

## b
First-principles (GGA-PBE) data for a geometry-optimized La2V2Ga structure, as listed in Alexandria.

Computed properties:
V: 22.64 A^3/atom

Unit cell a=6.931 b=6.931 c=4.712 alpha=90.00 beta=90.00 gamma=90.00
Sites, in units of the cell vectors:
La1 0.181 0.319 0.000
La2 0.319 0.819 0.000
La3 0.681 0.181 0.000
La4 0.819 0.681 0.000
V1 0.121 0.621 0.500
V2 0.379 0.121 0.500
V3 0.621 0.879 0.500
V4 0.879 0.379 0.500
Ga1 0.000 0.000 0.500
Ga2 0.500 0.500 0.500

---

Stability order, top to bottom: b, a

---

## a
First-principles (GGA-PBE) data for a geometry-optimized LaGaW3 structure, as listed in Alexandria.

Computed properties:
V: 21.76 A^3/atom

Unit cell a=4.774 b=4.774 c=4.774 alpha=90.00 beta=90.00 gamma=90.00
Sites, in units of the cell vectors:
La1 0.000 0.000 0.000
Ga1 0.500 0.500 0.500
W1 0.000 0.500 0.500
W2 0.500 0.000 0.500
W3 0.500 0.500 0.000

---

## b
First-principles (GGA-PBE) data for a geometry-optimized LaGaW3 structure, as listed in Alexandria.

Computed properties:
V: 23.33 A^3/atom

Unit cell a=4.886 b=4.886 c=4.886 alpha=90.00 beta=90.00 gamma=90.00
Sites, in units of the cell vectors:
La1 0.000 0.000 0.000
Ga1 0.500 0.500 0.500
W1 0.000 0.000 0.500
W2 0.000 0.500 0.000
W3 0.500 0.000 0.000

---

Stability order, top to bottom: a, b

---

## a
First-principles (GGA-PBE) data for a geometry-optimized LaYGa3 structure, as listed in Alexandria.

Computed properties:
V: 32.31 A^3/atom

Unit cell a=5.447 b=5.447 c=5.447 alpha=90.00 beta=90.00 gamma=90.00
Sites, in units of the cell vectors:
La1 0.000 0.000 0.000
Y1 0.500 0.500 0.500
Ga1 0.000 0.000 0.500
Ga2 0.000 0.500 0.000
Ga3 0.500 0.000 0.000

---

## b
First-principles (GGA-PBE) data for a geometry-optimized LaYGa3 structure, as listed in Alexandria.

Computed properties:
V: 24.17 A^3/atom

Unit cell a=13.137 b=13.137 c=4.245 alpha=90.00 beta=90.00 gamma=160.74
Sites, in units of the cell vectors:
La1 0.074 0.926 0.750
La2 0.926 0.074 0.250
Y1 0.204 0.796 0.250
Y2 0.796 0.204 0.750
Ga1 0.322 0.678 0.250
Ga2 0.378 0.622 0.750
Ga3 0.476 0.524 0.750
Ga4 0.524 0.476 0.250
Ga5 0.622 0.378 0.250
Ga6 0.678 0.322 0.750

---

Stability order, top to bottom: b, a